[1]
DFT (PBE) results for a geometry-optimized CaPtCl6 structure.

The space group is R-3 (No. 148, hexagonal axes) and the conventional cell measures 6.3564, 6.3564 and 17.4911 Å, with angles of 90.00, 90.00 and 120.00 degrees. The asymmetric unit holds Ca at (0.0000, 0.0000, 0.0000), Pt at (0.0000, 0.0000, 0.5000) and Cl at (0.0190, 0.6423, 0.0894).

The mass density is 3.6 g/cm3. As for the formation energy (no corrections): -1.106 eV/atom. As for the density of states at the Fermi level: 0.000 states/eV/atom.

---

[2]
DFT (PBE) results for a geometry-optimized Ca2PtCl structure.

The space group is I-42d (No. 122) and the conventional cell measures 7.381, 7.381 and 8.317 Å, with angles of 90.00, 90.00 and 90.00 degrees. The asymmetric unit holds Ca at (0.247, 0.250, 0.125), Pt at (0.000, 0.000, 0.000) and Cl at (0.000, 0.000, 0.500).

The mass density is 4.6 g/cm3. As for the formation energy (no corrections): -1.095 eV/atom. As for the density of states at the Fermi level: 0.535 states/eV/atom.

---

[3]
DFT (PBE) results for a geometry-optimized CaPtCl structure.

The space group is Fmm2 (No. 42) and the conventional cell measures 4.536, 4.544 and 13.443 Å, with angles of 90.00, 90.00 and 90.00 degrees. The asymmetric unit holds Ca at (0.000, 0.000, 0.000), Pt at (0.000, 0.000, 0.648) and Cl at (0.000, 0.000, 0.381).

The mass density is 6.5 g/cm3. As for the formation energy (no corrections): -0.916 eV/atom. As for the density of states at the Fermi level: 0.223 states/eV/atom.

---

[4]
DFT (PBE) results for a geometry-optimized Ca2PtCl structure.

The space group is P4/mmm (No. 123) and the conventional cell measures 3.507, 3.507 and 7.666 Å, with angles of 90.00, 90.00 and 90.00 degrees. The asymmetric unit holds Ca at (0.000, 0.000, 0.219), Pt at (0.500, 0.500, 0.000) and Cl at (0.500, 0.500, 0.500).

The mass density is 5.5 g/cm3. As for the formation energy (no corrections): -1.279 eV/atom. As for the density of states at the Fermi level: 0.342 states/eV/atom.

---

[5]
DFT (PBE) results for a geometry-optimized CaPtCl2 structure.

The space group is R3m (No. 160, hexagonal axes) and the conventional cell measures 4.1784, 4.1784 and 20.9531 Å, with angles of 90.00, 90.00 and 120.00 degrees. The asymmetric unit holds Ca at (0.0000, 0.0000, 0.0000), Pt at (0.0000, 0.0000, 0.7568), Cl at (0.0000, 0.0000, 0.2664) and Cl at (0.0000, 0.0000, 0.4353).

The mass density is 4.8 g/cm3. As for the formation energy (no corrections): -1.062 eV/atom. As for the density of states at the Fermi level: 0.152 states/eV/atom.

---

[6]
DFT (PBE) results for a geometry-optimized CaPt3Cl structure.

The space group is Pm-3m (No. 221) and the conventional cell measures 5.082, 5.082 and 5.082 Å, with angles of 90.00, 90.00 and 90.00 degrees. The asymmetric unit holds Ca at (0.000, 0.000, 0.000), Pt at (0.000, 0.000, 0.500) and Cl at (0.500, 0.500, 0.500).

The mass density is 8.4 g/cm3. As for the formation energy (no corrections): 1.372 eV/atom. As for the density of states at the Fermi level: 1.933 states/eV/atom.

---

[7]
DFT (PBE) results for a geometry-optimized CaPtCl2 structure.

The space group is C2/m (No. 12) and the conventional cell measures 6.577, 8.171 and 4.749 Å, with angles of 90.00, 133.63 and 90.00 degrees. The asymmetric unit holds Ca at (0.000, 0.000, 0.000), Pt at (0.000, 0.500, 0.000) and Cl at (0.250, 0.250, 0.500).

The mass density is 5.5 g/cm3. As for the formation energy (no corrections): -0.953 eV/atom. As for the density of states at the Fermi level: 0.278 states/eV/atom.

---

[8]
DFT (PBE) results for a geometry-optimized Ca3PtCl structure.

The space group is Pm-3m (No. 221) and the conventional cell measures 5.588, 5.588 and 5.588 Å, with angles of 90.00, 90.00 and 90.00 degrees. The asymmetric unit holds Ca at (0.000, 0.000, 0.500), Pt at (0.000, 0.000, 0.000) and Cl at (0.500, 0.500, 0.500).

The mass density is 3.3 g/cm3. As for the formation energy (no corrections): -0.798 eV/atom. As for the density of states at the Fermi level: 0.423 states/eV/atom.

---

[9]
DFT (PBE) results for a geometry-optimized Ca2PtCl structure.

The space group is P2/m (No. 10) and the conventional cell measures 3.675, 3.531 and 7.836 Å, with angles of 90.00, 90.20 and 90.00 degrees. The asymmetric unit holds Ca at (0.002, 0.000, 0.211), Pt at (0.500, 0.500, 0.000) and Cl at (0.000, 0.500, 0.500).

The mass density is 5.1 g/cm3. As for the formation energy (no corrections): -1.329 eV/atom. As for the density of states at the Fermi level: 0.346 states/eV/atom.

---

[10]
DFT (PBE) results for a geometry-optimized CaPtCl structure.

The space group is P-6m2 (No. 187) and the conventional cell measures 4.6120, 4.6120 and 3.4006 Å, with angles of 90.00, 90.00 and 120.00 degrees. The asymmetric unit holds Ca at (0.0000, 0.0000, 0.0000), Pt at (0.6667, 0.3333, 0.5000) and Cl at (0.3333, 0.6667, 0.5000).

The mass density is 7.2 g/cm3. As for the formation energy (no corrections): -0.725 eV/atom. As for the density of states at the Fermi level: 0.608 states/eV/atom.

---

[11]
DFT (PBE) results for a geometry-optimized CaPtCl2 structure.

The space group is Cm (No. 8) and the conventional cell measures 14.449, 3.580 and 3.897 Å, with angles of 90.00, 105.17 and 90.00 degrees. The asymmetric unit holds Ca at (0.000, 0.000, 0.000), Pt at (0.339, 0.000, 0.844), Cl at (0.082, 0.500, 0.579) and Cl at (0.341, 0.500, 0.346).

The mass density is 5.2 g/cm3. As for the formation energy (no corrections): -1.000 eV/atom. As for the density of states at the Fermi level: 0.608 states/eV/atom.

---

[12]
DFT (PBE) results for a geometry-optimized CaPtCl6 structure.

The space group is C2/c (No. 15) and the conventional cell measures 10.783, 7.826 and 9.972 Å, with angles of 90.00, 91.31 and 90.00 degrees. The asymmetric unit holds Ca at (0.000, 0.013, 0.250), Pt at (0.250, 0.250, 0.000), Cl at (0.071, 0.319, 0.118), Cl at (0.143, 0.291, 0.796) and Cl at (0.173, 0.032, 0.497).

The mass density is 3.5 g/cm3. As for the formation energy (no corrections): -1.153 eV/atom. As for the density of states at the Fermi level: 0.000 states/eV/atom.

---

[13]
DFT (PBE) results for a geometry-optimized CaPtCl2 structure.

The space group is P4/mmm (No. 123) and the conventional cell measures 3.224, 3.224 and 10.636 Å, with angles of 90.00, 90.00 and 90.00 degrees. The asymmetric unit holds Ca at (0.000, 0.000, 0.000), Pt at (0.000, 0.000, 0.500) and Cl at (0.500, 0.500, 0.152).

The mass density is 4.6 g/cm3. As for the formation energy (no corrections): -0.707 eV/atom. As for the density of states at the Fermi level: 1.083 states/eV/atom.

---

[14]
DFT (PBE) results for a geometry-optimized CaPtCl2 structure.

The space group is Immm (No. 71) and the conventional cell measures 4.186, 5.461 and 7.222 Å, with angles of 90.00, 90.00 and 90.00 degrees. The asymmetric unit holds Ca at (0.000, 0.000, 0.000), Pt at (0.000, 0.000, 0.500) and Cl at (0.000, 0.500, 0.220).

The mass density is 6.2 g/cm3. As for the formation energy (no corrections): -0.869 eV/atom. As for the density of states at the Fermi level: 0.117 states/eV/atom.

---

[15]
DFT (PBE) results for a geometry-optimized Ca2PtCl structure.

The space group is Imm2 (No. 44) and the conventional cell measures 3.719, 3.751 and 15.120 Å, with angles of 90.00, 90.00 and 90.00 degrees. The asymmetric unit holds Ca at (0.000, 0.000, 0.000), Ca at (0.000, 0.500, 0.279), Pt at (0.000, 0.500, 0.861) and Cl at (0.000, 0.000, 0.605).

The mass density is 4.9 g/cm3. As for the formation energy (no corrections): -1.219 eV/atom. As for the density of states at the Fermi level: 0.416 states/eV/atom.

---

[16]
DFT (PBE) results for a geometry-optimized CaPtCl2 structure.

The space group is Amm2 (No. 38) and the conventional cell measures 4.037, 3.810 and 12.014 Å, with angles of 90.00, 90.00 and 90.00 degrees. The asymmetric unit holds Ca at (0.000, 0.000, 0.000), Pt at (0.500, 0.000, 0.401), Cl at (0.000, 0.000, 0.273) and Cl at (0.500, 0.000, 0.594).

The mass density is 5.5 g/cm3. As for the formation energy (no corrections): -1.062 eV/atom.

---

[17]
DFT (PBE) results for a geometry-optimized Ca2PtCl structure.

The space group is C2/m (No. 12) and the conventional cell measures 7.047, 4.061 and 7.705 Å, with angles of 90.00, 107.83 and 90.00 degrees. The asymmetric unit holds Ca at (0.241, 0.000, 0.220), Pt at (0.000, 0.500, 0.000) and Cl at (0.000, 0.000, 0.500).

The mass density is 4.9 g/cm3. As for the formation energy (no corrections): -1.322 eV/atom. As for the density of states at the Fermi level: 0.441 states/eV/atom.

---

[18]
DFT (PBE) results for a geometry-optimized Ca2PtCl structure.

The space group is Fm-3m (No. 225) and the conventional cell measures 7.199, 7.199 and 7.199 Å, with angles of 90.00, 90.00 and 90.00 degrees. The asymmetric unit holds Ca at (0.250, 0.250, 0.250), Pt at (0.000, 0.000, 0.000) and Cl at (0.000, 0.000, 0.500).

The mass density is 5.5 g/cm3. As for the formation energy (no corrections): -1.087 eV/atom. As for the density of states at the Fermi level: 0.512 states/eV/atom.

---

[19]
DFT (PBE) results for a geometry-optimized CaPtCl2 structure.

The space group is F-43m (No. 216) and the conventional cell measures 6.925, 6.925 and 6.925 Å, with angles of 90.00, 90.00 and 90.00 degrees. The asymmetric unit holds Ca at (0.000, 0.000, 0.000), Pt at (0.250, 0.250, 0.750), Cl at (0.000, 0.000, 0.500) and Cl at (0.250, 0.250, 0.250).

The mass density is 6.1 g/cm3. As for the formation energy (no corrections): -0.551 eV/atom. As for the density of states at the Fermi level: 1.557 states/eV/atom.

---

[20]
DFT (PBE) results for a geometry-optimized Rb2CaPtCl6 structure.

The space group is Fm-3m (No. 225) and the conventional cell measures 10.514, 10.514 and 10.514 Å, with angles of 90.00, 90.00 and 90.00 degrees. The asymmetric unit holds Rb at (0.250, 0.250, 0.250), Ca at (0.000, 0.000, 0.000), Pt at (0.000, 0.000, 0.500) and Cl at (0.000, 0.000, 0.258).

The mass density is 3.5 g/cm3. As for the formation energy (no corrections): -1.494 eV/atom. As for the density of states at the Fermi level: 0.000 states/eV/atom.

---

[21]
DFT (PBE) results for a geometry-optimized CaRePt2Cl structure.

The space group is P4/mmm (No. 123) and the conventional cell measures 4.671, 4.671 and 4.750 Å, with angles of 90.00, 90.00 and 90.00 degrees. The asymmetric unit holds Ca at (0.000, 0.000, 0.000), Re at (0.500, 0.500, 0.000), Pt at (0.000, 0.500, 0.500) and Cl at (0.000, 0.000, 0.500).

The mass density is 10.4 g/cm3. As for the formation energy (no corrections): 0.997 eV/atom. As for the density of states at the Fermi level: 0.691 states/eV/atom.

---

[22]
DFT (PBE) results for a geometry-optimized CaPtS2Cl structure.

The space group is P4/mmm (No. 123) and the conventional cell measures 4.788, 4.788 and 4.863 Å, with angles of 90.00, 90.00 and 90.00 degrees. The asymmetric unit holds Ca at (0.000, 0.000, 0.000), Pt at (0.500, 0.500, 0.500), S at (0.000, 0.500, 0.500) and Cl at (0.500, 0.500, 0.000).

The mass density is 5.0 g/cm3. As for the formation energy (no corrections): -0.652 eV/atom. As for the density of states at the Fermi level: 1.019 states/eV/atom.

---

[23]
DFT (PBE) results for a geometry-optimized CaPtS2Cl structure.

The space group is P4/mmm (No. 123) and the conventional cell measures 5.310, 5.310 and 5.030 Å, with angles of 90.00, 90.00 and 90.00 degrees. The asymmetric unit holds Ca at (0.000, 0.000, 0.000), Pt at (0.500, 0.500, 0.500), S at (0.000, 0.500, 0.000) and Cl at (0.000, 0.000, 0.500).

The mass density is 3.9 g/cm3. As for the formation energy (no corrections): 0.416 eV/atom. As for the density of states at the Fermi level: 1.584 states/eV/atom.

---

[24]
DFT (PBE) results for a geometry-optimized CaSbPtCl2 structure.

The space group is P4/mmm (No. 123) and the conventional cell measures 5.376, 5.376 and 5.090 Å, with angles of 90.00, 90.00 and 90.00 degrees. The asymmetric unit holds Ca at (0.000, 0.000, 0.000), Sb at (0.500, 0.500, 0.500), Pt at (0.500, 0.500, 0.000) and Cl at (0.000, 0.500, 0.500).

The mass density is 4.8 g/cm3. As for the formation energy (no corrections): -0.526 eV/atom. As for the density of states at the Fermi level: 0.377 states/eV/atom.

---

[25]
DFT (PBE) results for a geometry-optimized CaSb2PtCl structure.

The space group is P4/mmm (No. 123) and the conventional cell measures 5.827, 5.827 and 5.054 Å, with angles of 90.00, 90.00 and 90.00 degrees. The asymmetric unit holds Ca at (0.000, 0.000, 0.000), Sb at (0.000, 0.500, 0.000), Pt at (0.000, 0.000, 0.500) and Cl at (0.500, 0.500, 0.500).

The mass density is 5.0 g/cm3. As for the formation energy (no corrections): 0.778 eV/atom. As for the density of states at the Fermi level: 1.006 states/eV/atom.

---

[26]
DFT (PBE) results for a geometry-optimized CaSiPtCl2 structure.

The space group is P4/mmm (No. 123) and the conventional cell measures 4.854, 4.854 and 10.706 Å, with angles of 90.00, 90.00 and 90.00 degrees. The asymmetric unit holds Ca at (0.000, 0.000, 0.000), Si at (0.000, 0.000, 0.500), Pt at (0.500, 0.500, 0.500) and Cl at (0.000, 0.500, 0.000).

The mass density is 2.2 g/cm3. As for the formation energy (no corrections): 0.136 eV/atom. As for the density of states at the Fermi level: 0.263 states/eV/atom.

---

[27]
DFT (PBE) results for a geometry-optimized CaTaPt2Cl structure.

The space group is P4/mmm (No. 123) and the conventional cell measures 5.033, 5.033 and 4.712 Å, with angles of 90.00, 90.00 and 90.00 degrees. The asymmetric unit holds Ca at (0.000, 0.000, 0.000), Ta at (0.500, 0.500, 0.500), Pt at (0.000, 0.500, 0.000) and Cl at (0.000, 0.000, 0.500).

The mass density is 9.0 g/cm3. As for the formation energy (no corrections): 1.010 eV/atom. As for the density of states at the Fermi level: 1.001 states/eV/atom.

---

[28]
DFT (PBE) results for a geometry-optimized Ca2PuCl8 structure.

The space group is C2/m (No. 12) and the conventional cell measures 11.554, 8.972 and 6.397 Å, with angles of 90.00, 107.89 and 90.00 degrees. The asymmetric unit holds Ca at (0.161, 0.000, 0.437), Pu at (0.000, 0.500, 0.000), Cl at (0.075, 0.000, 0.779), Cl at (0.136, 0.500, 0.754) and Cl at (0.148, 0.306, 0.261).

The mass density is 3.2 g/cm3. As for the formation energy (no corrections): -1.992 eV/atom. As for the density of states at the Fermi level: 0.671 states/eV/atom.